Version w
The following is a PBE+U calculation of Li2W2F after structural relaxation, from Alexandria via LeMat-Bulk.

Properties
* SG: I4/mmm
* spin magnetization: 0.520 μB per atom

The structure in POSCAR format:
```
Li2W2F
1.0
-1.188 -3.238 -1.185
2.887 -1.619 1.530
-3.258 -3.387 6.910
Li W F
2 2 1
Direct
0.412 0.412 0.175
0.588 0.588 0.825
0.750 0.250 0.500
0.250 0.750 0.500
0.000 0.000 0.000
```



Version x
The following is a PBE+U calculation of Li2W2F after structural relaxation, from Alexandria via LeMat-Bulk.

Properties
* SG: P4/mbm
* spin magnetization: 0.000 μB per atom

The structure in POSCAR format:
```
Li2W2F
1.0
7.626 0.000 0.000
0.000 7.626 0.000
0.000 0.000 3.051
Li W F
4 4 2
Direct
0.307 0.807 0.000
0.807 0.693 0.000
0.693 0.193 0.000
0.193 0.307 0.000
0.104 0.604 0.500
0.604 0.896 0.500
0.896 0.396 0.500
0.396 0.104 0.500
0.000 0.000 0.000
0.500 0.500 0.000
```



Most stable structure - version w; separation to the second - 738 meV/atom.